No. 1
Entry from Alexandria via LeMat-Bulk: a PBEsol-optimized structure of LaSc2Ag (meta-GGA SCAN). Values from VASP.

Structure (Quantum ESPRESSO input):
```
&SYSTEM
  ibrav = 0, nat = 4, ntyp = 3
/
ATOMIC_SPECIES
Sc 44.96 Sc.upf
La 138.91 La.upf
Ag 107.87 Ag.upf
ATOMIC_POSITIONS crystal
Sc 0.000 0.000 0.204
Sc 0.000 0.000 0.796
La 0.500 0.500 0.500
Ag 0.500 0.500 0.000
CELL_PARAMETERS angstrom
-3.440 0.135 -0.301
0.122 -2.411 -2.473
-0.699 -5.647 5.471
```

---

No. 2
Entry from Alexandria via LeMat-Bulk: a PBEsol-optimized structure of La3ScAg (meta-GGA SCAN). Values from VASP.

Structure (Quantum ESPRESSO input):
```
&SYSTEM
  ibrav = 0, nat = 5, ntyp = 3
/
ATOMIC_SPECIES
La 138.91 La.upf
Sc 44.96 Sc.upf
Ag 107.87 Ag.upf
ATOMIC_POSITIONS crystal
La 0.000 0.000 0.500
Sc 0.500 0.500 0.500
La 0.500 0.000 0.000
La 0.000 0.500 0.000
Ag 0.000 0.000 0.000
CELL_PARAMETERS angstrom
-4.725 3.172 -0.383
-0.389 0.107 5.690
3.172 4.740 0.127
```

---

No. 3
Entry from Alexandria via LeMat-Bulk: a PBEsol-optimized structure of LaSc2Ag (meta-GGA SCAN). Values from VASP.

Structure (Quantum ESPRESSO input):
```
&SYSTEM
  ibrav = 0, nat = 4, ntyp = 3
/
ATOMIC_SPECIES
Sc 44.96 Sc.upf
Ag 107.87 Ag.upf
La 138.91 La.upf
ATOMIC_POSITIONS crystal
Sc 0.780 0.780 0.560
Sc 0.220 0.220 0.440
Ag 0.500 0.000 0.000
La 0.000 0.500 0.000
CELL_PARAMETERS angstrom
-2.714 -1.968 0.695
-0.911 -0.588 -5.224
4.962 -3.085 2.207
```

---

No. 4
Entry from Alexandria via LeMat-Bulk: a PBEsol-optimized structure of LaScAg2 (meta-GGA SCAN). Values from VASP.

Structure (Quantum ESPRESSO input):
```
&SYSTEM
  ibrav = 0, nat = 4, ntyp = 3
/
ATOMIC_SPECIES
Sc 44.96 Sc.upf
La 138.91 La.upf
Ag 107.87 Ag.upf
ATOMIC_POSITIONS crystal
Sc 0.500 0.500 0.500
La 0.500 0.000 0.000
Ag 0.000 0.500 0.000
Ag 0.000 0.000 0.500
CELL_PARAMETERS angstrom
-2.844 1.953 -0.010
-1.414 -2.037 4.498
2.537 3.708 2.488
```

---

No. 5
Entry from Alexandria via LeMat-Bulk: a PBEsol-optimized structure of LaScAg (meta-GGA SCAN). Values from VASP.

Structure (Quantum ESPRESSO input):
```
&SYSTEM
  ibrav = 0, nat = 3, ntyp = 3
/
ATOMIC_SPECIES
Ag 107.87 Ag.upf
La 138.91 La.upf
Sc 44.96 Sc.upf
ATOMIC_POSITIONS crystal
Ag 0.000 0.000 0.022
La 0.333 0.667 0.678
Sc 0.667 0.333 0.300
CELL_PARAMETERS angstrom
-2.206 -2.364 -1.100
2.219 -0.759 2.483
-4.936 2.236 5.095
```

---

No. 6
Entry from Alexandria via LeMat-Bulk: a PBEsol-optimized structure of La2ScAg (meta-GGA SCAN). Values from VASP.

Structure (Quantum ESPRESSO input):
```
&SYSTEM
  ibrav = 0, nat = 4, ntyp = 3
/
ATOMIC_SPECIES
La 138.91 La.upf
Sc 44.96 Sc.upf
Ag 107.87 Ag.upf
ATOMIC_POSITIONS crystal
La 0.000 0.500 0.000
La 0.000 0.000 0.500
Sc 0.500 0.000 0.000
Ag 0.500 0.500 0.500
CELL_PARAMETERS angstrom
3.551 0.000 0.000
0.000 5.520 0.046
0.000 -0.036 5.520
```

---

No. 7
Entry from Alexandria via LeMat-Bulk: a PBEsol-optimized structure of La2ScAg (meta-GGA SCAN). Values from VASP.

Structure (Quantum ESPRESSO input):
```
&SYSTEM
  ibrav = 0, nat = 4, ntyp = 3
/
ATOMIC_SPECIES
La 138.91 La.upf
Sc 44.96 Sc.upf
Ag 107.87 Ag.upf
ATOMIC_POSITIONS crystal
La 0.000 0.000 0.000
La 0.250 0.250 0.250
Sc 0.750 0.750 0.750
Ag 0.500 0.500 0.500
CELL_PARAMETERS angstrom
5.227 0.000 0.000
2.613 4.526 0.000
2.613 1.509 4.267
```

---

No. 8
Entry from Alexandria via LeMat-Bulk: a PBEsol-optimized structure of LaSc2Ag2 (meta-GGA SCAN). Values from VASP.

Structure (Quantum ESPRESSO input):
```
&SYSTEM
  ibrav = 0, nat = 5, ntyp = 3
/
ATOMIC_SPECIES
Sc 44.96 Sc.upf
La 138.91 La.upf
Ag 107.87 Ag.upf
ATOMIC_POSITIONS crystal
Sc 0.750 0.250 0.500
La 0.000 0.000 0.000
Ag 0.616 0.616 0.232
Ag 0.384 0.384 0.768
Sc 0.250 0.750 0.500
CELL_PARAMETERS angstrom
4.638 0.000 0.000
0.000 4.638 0.000
-2.319 -2.319 5.631
```

---

no.,formation energy from the elements (eV per atom),DFT total energy (eV per atom),D(E_F) (states/eV/f.u.)
1,-0.12,-25.854,4.756
2,0.36,-34.625,9.902
3,-0.07,-25.811,5.819
4,-0.25,-30.270,3.089
5,0.01,-29.558,1.929
6,-0.05,-33.006,4.608
7,0.02,-32.937,3.989
8,-0.19,-27.049,6.317